No. 1
An optimized crystal structure of CdAg2Pd2, computed with PBE.

Cell and atoms, written as POSCAR:
```
CdAg2Pd2
1.0
3.743 0.000 0.000
0.000 3.743 0.000
1.871 1.871 6.850
Pd Ag Cd
2 2 1
direct
0.750 0.250 0.500
0.250 0.750 0.500
0.400 0.400 0.199
0.600 0.600 0.801
0.000 0.000 0.000
```

**Energy above the lowest structure with this stoichiometry**: 313.1 meV/atom
**Formation energy from the elements**: 148 meV/atom
**Calculated total energy**: -16.3 eV for the cell shown
**V**: 95.95 Å³/cell
**Space group**: I4/mmm, No. 139



No. 2
An optimized crystal structure of Cd2Ag6Pd, computed with PBE.

Cell and atoms, written as POSCAR:
```
Cd2Ag6Pd
1.0
4.874 0.000 0.000
-2.437 3.932 0.153
0.000 -1.220 8.539
Cd Ag Pd
2 6 1
direct
0.665 0.331 0.935
0.335 0.669 0.065
0.998 0.997 0.827
0.670 0.340 0.280
0.330 0.660 0.720
0.666 0.332 0.604
0.334 0.668 0.396
0.002 0.003 0.173
0.000 0.000 0.500
```

**Energy above the lowest structure with this stoichiometry**: 27.9 meV/atom
**Formation energy from the elements**: -6 meV/atom
**Calculated total energy**: -24.2 eV for the cell shown
**V**: 164.56 Å³/cell
**Space group**: C2/m, No. 12



No. 3
An optimized crystal structure of Cd6AgPd2, computed with PBE.

Cell and atoms, written as POSCAR:
```
Cd6AgPd2
1.0
-3.060 -3.171 2.075
-2.422 -2.074 -6.739
6.543 -1.060 2.099
Cd Ag Pd
6 1 2
direct
0.171 0.475 0.343
0.829 0.132 0.657
0.829 0.525 0.657
0.500 0.211 0.000
0.171 0.868 0.343
0.500 0.789 0.000
0.000 0.000 0.000
0.670 0.670 0.340
0.330 0.330 0.660
```

**Energy above the lowest structure with this stoichiometry**: 68.9 meV/atom
**Formation energy from the elements**: -123 meV/atom
**Calculated total energy**: -19.8 eV for the cell shown
**V**: 192.39 Å³/cell
**Space group**: C2/m, No. 12



No. 4
An optimized crystal structure of CdAg2Pd4, computed with PBE.

Cell and atoms, written as POSCAR:
```
CdAg2Pd4
1.0
6.388 0.412 2.532
-3.563 5.608 1.802
-0.262 0.412 6.866
Cd Ag Pd
2 4 8
direct
0.500 0.250 0.250
0.000 0.000 0.000
0.124 0.499 0.125
0.624 0.125 0.751
0.876 0.751 0.625
0.376 0.625 0.499
0.750 0.041 0.376
0.750 0.541 0.377
0.082 0.209 0.541
0.418 0.376 0.873
0.250 0.874 0.209
0.918 0.377 0.874
0.582 0.709 0.041
0.250 0.873 0.709
```

**Energy above the lowest structure with this stoichiometry**: 65.0 meV/atom
**Formation energy from the elements**: 62 meV/atom
**Calculated total energy**: -53.9 eV for the cell shown
**V**: 251.10 Å³/cell
**Space group**: I-42d, No. 122



No. 5
An optimized crystal structure of Cd3AgPd5, computed with PBE.

Cell and atoms, written as POSCAR:
```
Cd3AgPd5
1.0
-2.676 -0.141 5.069
-5.448 -0.446 -1.732
-0.266 -11.041 0.603
Cd Ag Pd
6 2 10
direct
0.742 0.742 0.872
0.673 0.673 0.485
0.000 0.000 0.000
0.000 0.000 0.500
0.258 0.258 0.128
0.327 0.327 0.515
0.058 0.058 0.736
0.942 0.942 0.264
0.983 0.410 0.327
0.330 0.670 0.000
0.714 0.714 0.125
0.478 0.478 0.292
0.522 0.522 0.708
0.286 0.286 0.875
0.410 0.983 0.327
0.670 0.330 0.000
0.017 0.590 0.673
0.590 0.017 0.673
```

**Energy above the lowest structure with this stoichiometry**: 355.7 meV/atom
**Formation energy from the elements**: 88 meV/atom
**Calculated total energy**: -61.5 eV for the cell shown
**V**: 355.68 Å³/cell
**Space group**: C2/m, No. 12



No. 6
An optimized crystal structure of CdAgPd3, computed with PBE.

Cell and atoms, written as POSCAR:
```
CdAgPd3
1.0
2.800 0.596 0.381
1.526 7.305 -0.819
0.733 -2.284 9.121
Cd Ag Pd
2 2 6
direct
0.551 0.350 0.982
0.965 0.867 0.113
0.228 0.412 0.500
0.287 0.805 0.596
0.351 0.194 0.693
0.165 0.024 0.402
0.417 0.577 0.795
0.025 0.260 0.211
0.490 0.958 0.885
0.098 0.641 0.301
```

**Energy above the lowest structure with this stoichiometry**: 0.0 meV/atom
**Formation energy from the elements**: -163 meV/atom
**Calculated total energy**: -40.3 eV for the cell shown
**V**: 169.35 Å³/cell
**Space group**: P-1, No. 2